(1)
A plane-wave DFT calculation with GGA-PBE was carried out for NaPm2Pb3 after structural relaxation.

Cell lengths 5.0354, 9.2485, 9.2485 Å; angles 111.03, 105.80, 105.80 degrees
Fractional coordinates of all 12 atoms:
Pb: 0.0000 0.0000 0.5000
Pb: 0.5000 0.5000 0.0000
Pm: 0.7500 0.2595 0.7405
Pm: 0.2500 0.0824 0.9176
Na: 0.7500 0.5725 0.4275
Pb: 0.5021 0.8377 0.6665
Pm: 0.7500 0.9176 0.0824
Na: 0.2500 0.4275 0.5725
Pb: 0.9979 0.3335 0.1623
Pm: 0.2500 0.7405 0.2595
Pb: 0.0021 0.6665 0.8377
Pb: 0.4979 0.1623 0.3335

Output
Its space-group type is Imma. The energy above the most stable polymorph in this dataset comes out at 0.00 eV/f.u. For the volume, the calculation gives 29.4 A^3/atom. The value obtained for the total magnetization is 0.00 μB/cell.

(2)
A plane-wave DFT calculation with GGA-PBE was carried out for Y4OsRh after structural relaxation.

Cell lengths 5.8409, 5.8409, 5.8409 Å; angles 60.00, 60.00, 60.00 degrees
Fractional coordinates of all 6 atoms:
Rh: 0.0000 0.0000 0.0000
Os: 0.7500 0.7500 0.7500
Y: 0.8742 0.3753 0.3753
Y: 0.3753 0.8742 0.3753
Y: 0.3753 0.3753 0.8742
Y: 0.3753 0.3753 0.3753

Output
Its space-group type is F-43m. For the volume, the calculation gives 23.5 A^3/atom. The value obtained for the total magnetization is 0.00 μB/cell.

(3)
A plane-wave DFT calculation with GGA-PBE was carried out for Hf4Zn3Ni after structural relaxation.

Cell lengths 3.2577, 3.2577, 13.2245 Å; angles 90.00, 90.00, 90.00 degrees
Fractional coordinates of all 8 atoms:
Hf: 0.0000 0.0000 0.6278
Hf: 0.0000 0.0000 0.3722
Hf: 0.0000 0.0000 0.1165
Hf: 0.0000 0.0000 0.8835
Zn: 0.5000 0.5000 0.7544
Ni: 0.5000 0.5000 0.0000
Zn: 0.5000 0.5000 0.5000
Zn: 0.5000 0.5000 0.2456

Output
Its space-group type is P4/mmm. For the volume, the calculation gives 17.5 A^3/atom. The value obtained for the total magnetization is 0.01 μB/cell.

(4)
A plane-wave DFT calculation with GGA-PBE was carried out for NdUTc2 after structural relaxation.

Cell lengths 3.3612, 3.3612, 7.3179 Å; angles 90.00, 90.00, 90.00 degrees
Fractional coordinates of all 4 atoms:
Tc: 0.0000 0.0000 0.8049
Nd: 0.5000 0.5000 0.5000
U: 0.5000 0.5000 0.0000
Tc: 0.0000 0.0000 0.1951

Output
Its space-group type is P4/mmm. The energy above the most stable polymorph in this dataset comes out at 0.10 eV/f.u. For the volume, the calculation gives 20.7 A^3/atom. The value obtained for the total magnetization is 0.00 μB/cell.

| no. | DFT total energy (eV/atom) | energy of formation from the pure elements (kJ per mole of atoms) |
| --- | --- | --- |
| 1 | -4.063 | -39 |
| 2 | -6.502 | 87 |
| 3 | -6.413 | -23 |
| 4 | -9.244 | -5 |